Density functional theory data (meta-GGA SCAN) for a PBEsol-optimized structure of CuSO2F.

Cell and atoms, written as POSCAR:
```
CuSO2F
1.0
-0.1153 0.0181 3.5436
-2.6516 -2.3525 -0.0743
2.8463 -3.2116 0.1090
S F O Cu
1 1 2 1
Direct
0.0000 0.0000 0.0000 S
0.0000 0.0000 0.5000 F
0.5000 0.0000 0.0000 O
0.0000 0.5000 0.0000 O
0.5000 0.5000 0.5000 Cu
```

Properties
Mass density, g cm⁻³: 4.51
DFT total energy, eV/atom: -8.26

Density functional theory data (meta-GGA SCAN) for a PBEsol-optimized structure of ScCuOF2.

Cell and atoms, written as POSCAR:
```
ScCuOF2
1.0
-1.5766 -1.6784 3.2717
-1.3309 -3.0579 -2.2101
3.4633 -1.9795 0.6534
Cu F O Sc
1 2 1 1
Direct
0.5000 0.5000 0.5000 Cu
0.0000 0.5000 0.0000 F
0.5000 0.0000 0.0000 F
0.0000 0.0000 0.5000 O
0.0000 0.0000 0.0000 Sc
```

Properties
Mass density, g cm⁻³: 4.17
DFT total energy, eV/atom: -11.05

Density functional theory data (meta-GGA SCAN) for a PBEsol-optimized structure of CuSiO2F.

Cell and atoms, written as POSCAR:
```
CuSiO2F
1.0
3.7269 0.0000 0.0000
0.0000 3.7718 0.0000
0.0000 0.0000 3.7718
O Cu Si F
2 1 1 1
Direct
0.0000 0.0000 0.5000 O
0.0000 0.5000 0.0000 O
0.0000 0.0000 0.0000 Cu
0.5000 0.5000 0.5000 Si
0.5000 0.0000 0.0000 F
```

Properties
Mass density, g cm⁻³: 4.47
DFT total energy, eV/atom: -8.72

- Look up the mass density of the first one.
  4.51 g cm⁻³

- Among the records above, which one has the lowest DFT total energy?
  ScCuOF2